# 1
Compound: Sc2AgMo
Source: Alexandria
Functional: PBE
Structure: relaxed

Calculated values
Formation energy, eV per atom: 0.1091
Space-group type: No. 44
Crystal system: orthorhombic
Density of states at the Fermi level, states/eV/f.u.: 4.0
ΔE to the lowest computed polymorph, meV per atom: 163

Cell: 5.7617 5.7617 5.7617 Å, 146.45 132.31 59.56°
Last column: nearest neighbours and their distance in Å.
Sites, in units of the cell vectors:
1 Mo 0.2553 0.7553 0.5000  6 Sc 2.87-2.91, 2 Ag 2.87
2 Sc 0.0161 0.0161 0.0000  4 Ag 2.87, 2 Mo 2.91
3 Ag 0.4888 0.4888 0.0000  2 Mo 2.87, 6 Sc 2.87-3.01
4 Sc 0.7398 0.2398 0.5000  4 Mo 2.87, 2 Ag 3.01


# 2
Compound: ScAgMo2
Source: Alexandria
Functional: PBE
Structure: relaxed

Calculated values
Formation energy, eV per atom: 0.2321
Space-group type: No. 44
Crystal system: orthorhombic
Density of states at the Fermi level, states/eV/f.u.: 3.5
ΔE to the lowest computed polymorph, meV per atom: 125

Cell: 5.2620 5.2620 5.2620 Å, 141.96 126.29 67.70°
Last column: nearest neighbours and their distance in Å.
Sites, in units of the cell vectors:
1 Mo 0.9746 0.9746 0.0000  2 Mo 2.48
2 Ag 0.2442 0.7442 0.5000  4 Sc 2.90-3.13, 8 Mo 2.91-3.12
3 Mo 0.7694 0.2694 0.5000  2 Mo 2.48
4 Sc 0.5118 0.5118 0.0000  6 Mo 2.83-2.95, 4 Ag 2.90-3.13


# 3
Compound: Sc2AgMo
Source: Alexandria
Functional: PBE
Structure: relaxed

Calculated values
Formation energy, eV per atom: 0.1249
Space-group type: No. 119
Crystal system: tetragonal
Density of states at the Fermi level, states/eV/f.u.: 3.9
ΔE to the lowest computed polymorph, meV per atom: 179

Cell: 5.4282 5.4282 5.4282 Å, 135.93 135.93 64.08°
Last column: nearest neighbours and their distance in Å.
Sites, in units of the cell vectors:
1 Sc 0.2500 0.7500 0.5000  4 Mo 2.88, 4 Sc 3.07, 4 Ag 3.07
2 Ag 0.5000 0.5000 0.0000  8 Sc 2.88-3.07, 4 Mo 3.07
3 Mo 0.7500 0.2500 0.5000  8 Sc 2.88-3.07, 4 Ag 3.07
4 Sc 0.0000 0.0000 0.0000  4 Ag 2.88, 4 Mo 3.07, 4 Sc 3.07


# 4
Compound: ScAgMo2
Source: Alexandria
Functional: PBE
Structure: relaxed

Calculated values
Formation energy, eV per atom: 0.2724
Space-group type: No. 99
Crystal system: tetragonal
Density of states at the Fermi level, states/eV/f.u.: 2.4
ΔE to the lowest computed polymorph, meV per atom: 166

Cell: 2.7468 2.7468 9.1954 Å, 90.00 90.00 90.00°
Last column: nearest neighbours and their distance in Å.
Sites, in units of the cell vectors:
1 Ag 0.5000 0.5000 0.7564  4 Ag 2.75, 4 Mo 2.97
2 Sc 0.0000 0.0000 0.4956  4 Sc 2.75, 4 Mo 3.00
3 Mo 0.5000 0.5000 0.2472  8 Mo 2.75-2.98, 4 Sc 3.00
4 Mo 0.0000 0.0000 0.0008  8 Mo 2.75-2.98, 4 Ag 2.97


# 5
Compound: Sc2AgMo
Source: Alexandria
Functional: PBE
Structure: relaxed

Calculated values
Formation energy, eV per atom: 0.0758
Space-group type: No. 8
Crystal system: monoclinic
Density of states at the Fermi level, states/eV/f.u.: 4.0
ΔE to the lowest computed polymorph, meV per atom: 130

Cell: 5.4376 5.4376 5.0544 Å, 75.11 75.11 32.75°
Last column: nearest neighbours and their distance in Å.
Sites, in units of the cell vectors:
1 Mo 0.7613 0.7613 0.8063  7 Sc 2.88-3.01, 2 Ag 2.97, 2 Mo 3.07
2 Sc 0.2339 0.2339 0.3112  3 Ag 2.90-2.92, 4 Mo 2.92-3.01, 2 Sc 3.07
3 Sc 0.0183 0.0183 0.9323  3 Mo 2.88-2.92, 4 Ag 2.97, 2 Sc 3.07
4 Ag 0.4865 0.4865 0.4502  7 Sc 2.90-2.97, 2 Mo 2.97, 2 Ag 3.07


# 6
Compound: ScAgMo2
Source: Alexandria
Functional: PBE
Structure: relaxed

Calculated values
Formation energy, eV per atom: 0.8396
Space-group type: No. 122
Crystal system: tetragonal
Density of states at the Fermi level, states/eV/f.u.: 3.5
ΔE to the lowest computed polymorph, meV per atom: 733

Cell: 7.6325 7.6325 5.9910 Å, 50.43 50.43 90.00°
Last column: nearest neighbours and their distance in Å.
Sites, in units of the cell vectors:
1 Mo 0.1047 0.6250 0.2500  2 Mo 2.62, 2 Ag 2.67, 2 Sc 2.88
2 Ag 0.0000 0.0000 0.0000  2 Sc 2.60, 4 Mo 2.67
3 Mo 0.8750 0.8953 0.7500  2 Mo 2.62, 2 Ag 2.67, 2 Sc 2.88
4 Sc 0.5000 0.5000 0.0000  2 Ag 2.60, 4 Mo 2.88
5 Ag 0.7500 0.2500 0.5000  2 Sc 2.60, 4 Mo 2.67
6 Mo 0.3750 0.3547 0.7500  2 Mo 2.62, 2 Ag 2.67, 2 Sc 2.88
7 Mo 0.6453 0.1250 0.2500  2 Mo 2.62, 2 Ag 2.67, 2 Sc 2.88
8 Sc 0.2500 0.7500 0.5000  2 Ag 2.60, 4 Mo 2.88


# 7
Compound: ThScAgMo
Source: Alexandria
Functional: PBE
Structure: relaxed

Calculated values
Formation energy, eV per atom: 0.0557
Space-group type: No. 216
Crystal system: cubic
Density of states at the Fermi level, states/eV/f.u.: 3.0

Cell: 4.9753 4.9753 4.9753 Å, 60.00 60.00 60.00°
Last column: nearest neighbours and their distance in Å.
Sites, in units of the cell vectors:
1 Sc 0.0000 0.0000 0.0000  4 Mo 3.05, 4 Ag 3.05
2 Th 0.5000 0.5000 0.5000  4 Ag 3.05, 4 Mo 3.05
3 Ag 0.2500 0.2500 0.2500  4 Th 3.05, 4 Sc 3.05
4 Mo 0.7500 0.7500 0.7500  4 Th 3.05, 4 Sc 3.05


# 8
Compound: ScTiAgMo
Source: Alexandria
Functional: PBE
Structure: relaxed

Calculated values
Formation energy, eV per atom: 0.0207
Space-group type: No. 216
Crystal system: cubic
Density of states at the Fermi level, states/eV/f.u.: 2.3

Cell: 4.6218 4.6218 4.6218 Å, 60.00 60.00 60.00°
Last column: nearest neighbours and their distance in Å.
Sites, in units of the cell vectors:
1 Mo 0.0000 0.0000 0.0000  4 Ti 2.83, 4 Sc 2.83
2 Ag 0.5000 0.5000 0.5000  4 Sc 2.83, 4 Ti 2.83
3 Ti 0.2500 0.2500 0.2500  4 Mo 2.83, 4 Ag 2.83
4 Sc 0.7500 0.7500 0.7500  4 Ag 2.83, 4 Mo 2.83


# 9
Compound: ZrScAgMo2
Source: Alexandria
Functional: PBE
Structure: relaxed

Calculated values
Formation energy, eV per atom: 1.3847
Space-group type: No. 123
Crystal system: tetragonal
Density of states at the Fermi level, states/eV/f.u.: 9.1

Cell: 4.7962 5.1505 4.7962 Å, 90.00 90.00 90.00°
Last column: nearest neighbours and their distance in Å.
Sites, in units of the cell vectors:
1 Ag 0.0000 0.5000 0.0000  2 Zr 2.58
2 Mo 0.5000 0.0000 0.0000  2 Zr 2.40
3 Mo 0.0000 0.0000 0.5000  2 Zr 2.40
4 Sc 0.5000 0.5000 0.5000  4 Ag 3.39, 8 Mo 3.52
5 Zr 0.0000 0.0000 0.0000  4 Mo 2.40, 2 Ag 2.58


# 10
Compound: Ag2MoSe
Source: Alexandria
Functional: PBE
Structure: relaxed

Calculated values
Formation energy from raw total energies, meV/atom: 406
Space-group type: No. 65
Crystal system: orthorhombic
Density of states at the Fermi level, states/eV/f.u.: 1.9

Cell: 2.7809 2.7809 9.5394 Å, 90.00 90.00 99.24°
Last column: nearest neighbours and their distance in Å.
Sites, in units of the cell vectors:
1 Se 0.5000 0.5000 0.7500  4 Se 2.78, 4 Ag 3.10
2 Ag 0.0000 0.0000 0.0147  4 Ag 2.78, 4 Mo 2.88-3.09, 2 Se 3.10
3 Ag 0.0000 0.0000 0.4853  4 Ag 2.78, 4 Mo 2.88-3.09, 2 Se 3.10
4 Mo 0.5000 0.5000 0.2500  4 Mo 2.78, 8 Ag 2.88-3.09


# 11
Compound: AgMoSe2
Source: Alexandria
Functional: PBE
Structure: relaxed

Calculated values
Formation energy from raw total energies, meV/atom: 269
Space-group type: No. 225
Crystal system: cubic
Density of states at the Fermi level, states/eV/f.u.: 2.6
ΔE to the lowest computed polymorph, meV per atom: 456

Cell: 4.6462 4.6462 4.6462 Å, 60.00 60.00 60.00°
Last column: nearest neighbours and their distance in Å.
Sites, in units of the cell vectors:
1 Se 0.7500 0.7500 0.7500  4 Mo 2.85, 4 Ag 2.85
2 Mo 0.0000 0.0000 0.0000  8 Se 2.85
3 Se 0.2500 0.2500 0.2500  4 Mo 2.85, 4 Ag 2.85
4 Ag 0.5000 0.5000 0.5000  8 Se 2.85


# 12
Compound: AgMoSe2
Source: Alexandria
Functional: PBE
Structure: relaxed

Calculated values
Formation energy from raw total energies, meV/atom: 131
Space-group type: No. 6
Crystal system: monoclinic
Density of states at the Fermi level, states/eV/f.u.: 1.9
ΔE to the lowest computed polymorph, meV per atom: 317

Cell: 3.8253 3.4412 7.3716 Å, 76.68 90.00 90.00°
Last column: nearest neighbours and their distance in Å.
Sites, in units of the cell vectors:
1 Ag 0.0000 0.5582 0.5071  4 Se 2.76, 4 Mo 2.96
2 Se 0.0000 0.8567 0.9147  2 Mo 2.41
3 Se 0.5000 0.1270 0.3684  1 Mo 2.45
4 Mo 0.5000 0.9581 0.7098  3 Se 2.41-2.45


# 13
Compound: AgMo2Se
Source: Alexandria
Functional: PBE
Structure: relaxed

Calculated values
Formation energy from raw total energies, meV/atom: 422
Space-group type: No. 166
Crystal system: trigonal
Density of states at the Fermi level, states/eV/f.u.: 4.1

Cell: 8.9200 8.9200 8.9200 Å, 19.08 19.08 19.08°
Last column: nearest neighbours and their distance in Å.
Sites, in units of the cell vectors:
1 Ag 0.7500 0.7500 0.7500  6 Mo 2.94, 6 Ag 2.96
2 Se 0.2500 0.2500 0.2500  6 Mo 2.62
3 Mo 0.5077 0.5077 0.5077  3 Se 2.62
4 Mo 0.9923 0.9923 0.9923  3 Se 2.62


# 14
Compound: AgMoSe2
Source: Alexandria
Functional: PBE
Structure: relaxed

Calculated values
Formation energy from raw total energies, meV/atom: 567
Space-group type: No. 166
Crystal system: trigonal
Density of states at the Fermi level, states/eV/f.u.: 3.7
ΔE to the lowest computed polymorph, meV per atom: 754

Cell: 9.1989 9.1989 9.1989 Å, 20.15 20.15 20.15°
Last column: nearest neighbours and their distance in Å.
Sites, in units of the cell vectors:
1 Se 0.0886 0.0886 0.0886  1 Mo 2.39
2 Ag 0.5000 0.5000 0.5000  6 Se 2.81
3 Mo 0.0000 0.0000 0.0000  2 Se 2.39
4 Se 0.9114 0.9114 0.9114  1 Mo 2.39


# 15
Compound: AgMo2Se
Source: Alexandria
Functional: PBE
Structure: relaxed

Calculated values
Formation energy from raw total energies, meV/atom: 413
Space-group type: No. 6
Crystal system: monoclinic
Density of states at the Fermi level, states/eV/f.u.: 2.6

Cell: 4.5350 2.9559 5.3700 Å, 73.76 90.00 90.00°
Last column: nearest neighbours and their distance in Å.
Sites, in units of the cell vectors:
1 Mo 0.0000 0.0387 0.0450  2 Se 2.57-2.58
2 Ag 0.5000 0.6909 0.7424  3 Mo 2.66-2.90, 2 Ag 2.96
3 Se 0.0000 0.3302 0.4536  4 Mo 2.48-2.58
4 Mo 0.5000 0.4402 0.2591  2 Se 2.48, 1 Ag 2.66


no.,size of the total moment (μB per formula unit)
1,0.00
2,0.00
3,0.00
4,0.00
5,0.00
6,0.00
7,0.00
8,0.00
9,0.00
10,0.00
11,0.97
12,0.00
13,0.00
14,0.00
15,0.00